[1]
# SmTl5Br8

A relaxed structure of SmTl5Br8 (PBE-GGA, Alexandria).

Lattice parameters (Å, degrees): 8.2393 8.3277 8.9599 107.90 106.73 108.32
Last column: nearest neighbours and their distance in Å.
Element x y z (fractional)
Sm 0.0000 0.0000 0.0000  7 Br 2.90-3.03
Tl 0.1606 0.9138 0.5305  5 Br 3.15-3.42
Tl 0.3282 0.5607 0.8801  6 Br 3.28-3.60
Tl 0.5088 0.6172 0.4413  5 Br 3.16-3.41
Tl 0.6712 0.1646 0.3538  6 Br 3.28-3.57
Tl 0.7778 0.3995 0.9294  6 Br 3.24-3.58
Br 0.0325 0.3410 0.2487  1 Sm 2.90
Br 0.2342 0.8364 0.1695  1 Sm 3.02, 3 Tl 3.28-3.37
Br 0.3894 0.2500 0.0726  1 Sm 2.97, 1 Tl 3.32
Br 0.4282 0.3138 0.5874  5 Tl 3.15-3.51
Br 0.5906 0.9133 0.8250  1 Sm 3.01, 2 Tl 3.28-3.33
Br 0.7967 0.8201 0.1818  1 Sm 3.03, 1 Tl 3.32
Br 0.9278 0.6662 0.7076  1 Sm 2.92
Br 0.9558 0.1421 0.7245  1 Sm 3.03, 3 Tl 3.34-3.37

Properties
Symmetry: P1, No. 1
Uncorrected formation energy in eV/atom: -1.1407
Final energy in eV/atom: -3.279

---

[2]
# NaZn2Cd

A relaxed structure of NaZn2Cd (PBE-GGA, Alexandria).

Lattice parameters (Å, degrees): 7.9902 7.9902 5.7957 90.00 90.00 90.00
Last column: nearest neighbours and their distance in Å.
Element x y z (fractional)
Na 0.0000 0.0000 0.0000  2 Cd 2.90, 4 Zn 3.07
Na 0.0000 0.5000 0.2500  2 Cd 2.90, 4 Zn 3.07
Na 0.5000 0.0000 0.7500  2 Cd 2.90, 4 Zn 3.07
Na 0.5000 0.5000 0.5000  2 Cd 2.90, 4 Zn 3.07
Zn 0.2222 0.2500 0.6250  2 Cd 2.77, 2 Zn 2.93, 2 Na 3.07
Zn 0.2500 0.7222 0.8750  2 Cd 2.77, 2 Zn 2.93, 2 Na 3.07
Zn 0.2500 0.7778 0.3750  2 Cd 2.77, 2 Zn 2.93, 2 Na 3.07
Zn 0.2778 0.2500 0.1250  2 Cd 2.77, 2 Zn 2.93, 2 Na 3.07
Zn 0.7222 0.7500 0.1250  2 Cd 2.77, 2 Zn 2.93, 2 Na 3.07
Zn 0.7500 0.2222 0.3750  2 Cd 2.77, 2 Zn 2.93, 2 Na 3.07
Zn 0.7500 0.2778 0.8750  2 Cd 2.77, 2 Zn 2.93, 2 Na 3.07
Zn 0.7778 0.7500 0.6250  2 Cd 2.77, 2 Zn 2.93, 2 Na 3.07
Cd 0.0000 0.0000 0.5000  4 Zn 2.77, 2 Na 2.90
Cd 0.0000 0.5000 0.7500  4 Zn 2.77, 2 Na 2.90
Cd 0.5000 0.0000 0.2500  4 Zn 2.77, 2 Na 2.90
Cd 0.5000 0.5000 0.0000  4 Zn 2.77, 2 Na 2.90

Properties
ΔE_f in eV per atom: 0.18
Symmetry: I-42d, No. 122
Final energy in eV/atom: -1.015

---

[3]
# Sr2NbTe2

A relaxed structure of Sr2NbTe2 (PBE-GGA, Alexandria).

Lattice parameters (Å, degrees): 8.1265 8.1265 4.6882 90.00 90.00 90.00
Last column: nearest neighbours and their distance in Å.
Element x y z (fractional)
Sr 0.1572 0.3428 0.0000  6 Te 3.16-3.48
Sr 0.3428 0.8428 0.0000  6 Te 3.16-3.48
Sr 0.6572 0.1572 0.0000  6 Te 3.16-3.48
Sr 0.8428 0.6572 0.0000  6 Te 3.16-3.48
Nb 0.0000 0.0000 0.5000  4 Te 3.06
Nb 0.5000 0.5000 0.5000  4 Te 3.06
Te 0.1585 0.6585 0.5000  2 Nb 3.06, 2 Sr 3.16
Te 0.3415 0.1585 0.5000  2 Nb 3.06, 2 Sr 3.16
Te 0.6585 0.8415 0.5000  2 Nb 3.06, 2 Sr 3.16
Te 0.8415 0.3415 0.5000  2 Nb 3.06, 2 Sr 3.16

Properties
Symmetry: P4/mbm, No. 127
Uncorrected formation energy in eV/atom: -0.6076
Final energy in eV/atom: -4.551
Relative energy among the computed polymorphs in meV/atom: 0

---

[4]
# CsK5Rb

A relaxed structure of CsK5Rb (PBE-GGA, Alexandria).

Lattice parameters (Å, degrees): 6.3832 6.3832 14.9824 90.00 90.00 90.00
Last column: nearest neighbours and their distance in Å.
Element x y z (fractional)
Cs 0.0000 0.0000 0.0000  8 K 5.02
K 0.0000 0.0000 0.5000  4 Rb 4.51, 8 K 4.82
K 0.0000 0.5000 0.2589  6 K 4.51-4.82, 2 Rb 4.82, 2 Cs 5.02
K 0.0000 0.5000 0.7411  6 K 4.51-4.82, 2 Rb 4.82, 2 Cs 5.02
K 0.5000 0.0000 0.2589  6 K 4.51-4.82, 2 Rb 4.82, 2 Cs 5.02
K 0.5000 0.0000 0.7411  6 K 4.51-4.82, 2 Rb 4.82, 2 Cs 5.02
Rb 0.5000 0.5000 0.5000  12 K 4.51-4.82

Properties
ΔE_f in eV per atom: 0.05
Symmetry: P4/mmm, No. 123
Final energy in eV/atom: -0.998
Relative energy among the computed polymorphs in meV/atom: 26

---

[5]
# AcNdDy2P4

A relaxed structure of AcNdDy2P4 (PBE-GGA, Alexandria).

Lattice parameters (Å, degrees): 7.2069 4.1608 7.2101 90.00 109.41 90.00
Last column: nearest neighbours and their distance in Å.
Element x y z (fractional)
Ac 0.0000 0.0000 0.0000  6 P 3.03-3.04
Nd 0.0000 0.5000 0.5000  6 P 2.98
Dy 0.5000 0.0000 0.5000  6 P 2.85
Dy 0.5000 0.5000 0.0000  6 P 2.91
P 0.2640 0.0000 0.7487  3 Dy 2.85-2.91, 2 Nd 2.98, 1 Ac 3.03
P 0.2691 0.5000 0.2626  3 Dy 2.85-2.91, 1 Nd 2.98, 2 Ac 3.04
P 0.7309 0.5000 0.7374  3 Dy 2.85-2.91, 1 Nd 2.98, 2 Ac 3.04
P 0.7360 0.0000 0.2513  3 Dy 2.85-2.91, 2 Nd 2.98, 1 Ac 3.03

Properties
ΔE_f in eV per atom: -1.52
Symmetry: P2/m, No. 10
Final energy in eV/atom: -6.483

---

[6]
# AcTb6NdEr2

A relaxed structure of AcTb6NdEr2 (PBE-GGA, Alexandria).

Lattice parameters (Å, degrees): 8.9234 8.9234 9.6055 92.72 92.72 117.38
Last column: nearest neighbours and their distance in Å.
Element x y z (fractional)
Ac 0.0324 0.9676 0.7500  4 Er 3.46-3.57, 6 Tb 3.66-3.85
Ac 0.9676 0.0324 0.2500  4 Er 3.46-3.57, 6 Tb 3.66-3.85
Tb 0.0173 0.5547 0.6780  3 Tb 3.23-3.58, 2 Er 3.45-3.48, 1 Nd 3.54
Tb 0.1214 0.7506 0.0570  6 Tb 3.43-3.79, 1 Er 3.57, 1 Ac 3.82
Tb 0.2494 0.8786 0.4430  6 Tb 3.43-3.79, 1 Er 3.57, 1 Ac 3.82
Tb 0.2905 0.5123 0.8829  4 Tb 3.23-3.53, 3 Er 3.30-3.47, 2 Nd 3.47-3.58
Tb 0.4453 0.9827 0.8220  3 Tb 3.23-3.58, 2 Er 3.45-3.48, 1 Nd 3.54
Tb 0.4877 0.7095 0.6171  4 Tb 3.23-3.53, 3 Er 3.30-3.47, 2 Nd 3.47-3.58
Tb 0.5123 0.2905 0.3829  4 Tb 3.23-3.53, 3 Er 3.30-3.47, 2 Nd 3.47-3.58
Tb 0.5547 0.0173 0.1780  3 Tb 3.23-3.58, 2 Er 3.45-3.48, 1 Nd 3.54
Tb 0.7095 0.4877 0.1171  4 Tb 3.23-3.53, 3 Er 3.30-3.47, 2 Nd 3.47-3.58
Tb 0.7506 0.1214 0.5570  6 Tb 3.43-3.79, 1 Er 3.57, 1 Ac 3.82
Tb 0.8786 0.2494 0.9430  6 Tb 3.43-3.79, 1 Er 3.57, 1 Ac 3.82
Tb 0.9827 0.4453 0.3220  3 Tb 3.23-3.58, 2 Er 3.45-3.48, 1 Nd 3.54
Nd 0.4102 0.5898 0.2500  6 Tb 3.47-3.58, 4 Er 3.61-3.85
Nd 0.5898 0.4102 0.7500  6 Tb 3.47-3.58, 4 Er 3.61-3.85
Er 0.1997 0.3112 0.5488  6 Tb 3.30-3.57, 2 Ac 3.46-3.57, 1 Nd 3.61
Er 0.3112 0.1997 0.0488  6 Tb 3.30-3.57, 2 Ac 3.46-3.57, 1 Nd 3.61
Er 0.6888 0.8003 0.9512  6 Tb 3.30-3.57, 2 Ac 3.46-3.57, 1 Nd 3.61
Er 0.8003 0.6888 0.4512  6 Tb 3.30-3.57, 2 Ac 3.46-3.57, 1 Nd 3.61

Properties
ΔE_f in eV per atom: 0.13
Symmetry: C2/c, No. 15
Final energy in eV/atom: -4.449

---

[7]
# Pa2FeMoN5

A relaxed structure of Pa2FeMoN5 (PBE-GGA, Alexandria).

Lattice parameters (Å, degrees): 6.6345 6.6345 9.9832 90.00 90.00 151.64
Last column: nearest neighbours and their distance in Å.
Element x y z (fractional)
Pa 0.1058 0.8942 0.5000  6 N 2.30-2.47
Pa 0.1449 0.8551 0.1293  7 N 2.38-2.48
Pa 0.8551 0.1449 0.6293  7 N 2.38-2.48
Pa 0.8942 0.1058 0.0000  6 N 2.30-2.47
Fe 0.4655 0.5345 0.2696  4 N 1.91-2.00
Fe 0.5345 0.4655 0.7696  4 N 1.91-2.00
Mo 0.1963 0.8037 0.8304  1 N 1.95
Mo 0.8037 0.1963 0.3304  1 N 1.95
N 0.0491 0.9509 0.8768  1 Mo 1.95, 2 Fe 1.95
N 0.2840 0.7160 0.4781  2 Mo 2.21, 3 Pa 2.30-2.40
N 0.3246 0.6754 0.1845  1 Fe 2.00, 2 Mo 2.20
N 0.3694 0.6306 0.8160  1 Fe 2.17, 1 Mo 2.23
N 0.4870 0.5130 0.5889  1 Fe 1.91
N 0.5130 0.4870 0.0889  1 Fe 1.91
N 0.6306 0.3694 0.3160  1 Fe 2.17, 1 Mo 2.23
N 0.6754 0.3246 0.6845  1 Fe 2.00, 2 Mo 2.20
N 0.7160 0.2840 0.9781  2 Mo 2.21, 3 Pa 2.30-2.40
N 0.9509 0.0491 0.3768  1 Mo 1.95, 2 Fe 1.95

Properties
Symmetry: Cmc2_1, No. 36
Uncorrected formation energy in eV/atom: -0.9774
Final energy in eV/atom: -9.857

---

[8]
# KMg6

A relaxed structure of KMg6 (PBE-GGA, Alexandria).

Lattice parameters (Å, degrees): 8.2893 8.2893 8.2893 90.00 90.00 90.00
Last column: nearest neighbours and their distance in Å.
Element x y z (fractional)
K 0.0000 0.0000 0.0000  24 Mg 4.63
K 0.5000 0.5000 0.5000  24 Mg 4.63
Mg 0.0000 0.2500 0.5000  4 Mg 2.93
Mg 0.0000 0.5000 0.2500  4 Mg 2.93
Mg 0.0000 0.5000 0.7500  4 Mg 2.93
Mg 0.0000 0.7500 0.5000  4 Mg 2.93
Mg 0.2500 0.0000 0.5000  4 Mg 2.93
Mg 0.2500 0.5000 0.0000  4 Mg 2.93
Mg 0.5000 0.0000 0.2500  4 Mg 2.93
Mg 0.5000 0.0000 0.7500  4 Mg 2.93
Mg 0.5000 0.2500 0.0000  4 Mg 2.93
Mg 0.5000 0.7500 0.0000  4 Mg 2.93
Mg 0.7500 0.0000 0.5000  4 Mg 2.93
Mg 0.7500 0.5000 0.0000  4 Mg 2.93

Properties
ΔE_f in eV per atom: 0.50
Symmetry: Im-3m, No. 229
Final energy in eV/atom: -1.020